ZnIn3: relaxed, GGA-PBEsol.

```
4
Lattice="3.241 0.000 0.000 0.000 3.241 0.000 0.000 0.000 8.590" Properties=species:S:1:pos:R:3 pbc="T T T"
Zn 0.000 0.000 0.000
In 0.000 0.000 4.295
In 1.621 1.621 1.882
In 1.621 1.621 6.709
```

Space-group type: P4/mmm
D(E_F) in states/eV per cell: 1.2
Energy of formation in eV/atom: 0.057
Uncorrected energy in Ha/atom: -0.095
Total moment in μB/cell: 0.000

=====

In2IrPb: relaxed, GGA-PBEsol.

```
4
Lattice="1.644 0.949 9.561 -1.644 0.949 9.561 0.000 -1.898 9.561" Properties=species:S:1:pos:R:3 pbc="T T T"
In 0.000 0.000 0.000
In 0.000 0.000 6.928
Ir 0.000 0.000 21.071
Pb 0.000 0.000 13.592
```

Space-group type: R3m
D(E_F) in states/eV per cell: 3.1
Energy of formation in eV/atom: 0.223
Uncorrected energy in Ha/atom: -0.174
Total moment in μB/cell: 0.000

=====

MgSnSeBr2: relaxed, GGA-PBEsol.

```
5
Lattice="4.975 0.000 0.000 0.000 4.975 0.000 0.000 0.000 5.317" Properties=species:S:1:pos:R:3 pbc="T T T"
Mg 0.000 0.000 0.000
Sn 2.488 2.488 2.659
Se 0.000 0.000 2.659
Br 0.000 2.488 0.000
Br 2.488 0.000 0.000
```

Space-group type: P4/mmm
D(E_F) in states/eV per cell: 0.0
ΔE_f (raw) in eV/atom: -0.63
Uncorrected energy in Ha/atom: -0.123
Total moment in μB/cell: 0.000

=====

CaTiTc2S: relaxed, GGA-PBEsol.

```
5
Lattice="4.516 0.000 0.000 0.000 4.516 0.000 0.000 0.000 4.874" Properties=species:S:1:pos:R:3 pbc="T T T"
Ca 0.000 0.000 0.000
Ti 2.258 2.258 2.437
Tc 0.000 2.258 2.437
Tc 2.258 0.000 2.437
S 2.258 2.258 0.000
```

Space-group type: P4/mmm
D(E_F) in states/eV per cell: 5.6
ΔE_f (raw) in eV/atom: 0.63
Uncorrected energy in Ha/atom: -0.252
Total moment in μB/cell: 2.717

=====

NiAs: relaxed, GGA-PBEsol.

```
4
Lattice="3.989 0.000 0.000 -1.995 3.455 0.000 0.000 0.000 4.789" Properties=species:S:1:pos:R:3 pbc="T T T"
Ni 0.000 2.303 1.197
Ni 1.995 1.152 3.592
As 0.000 2.303 3.592
As 1.995 1.152 1.197
```

Space-group type: P6_3/mmc
D(E_F) in states/eV per cell: 2.7
Energy of formation in eV/atom: -0.023
Uncorrected energy in Ha/atom: -0.208
Total moment in μB/cell: 0.000

=====

Mn5Ir: relaxed, GGA-PBEsol.

```
6
Lattice="4.359 0.000 0.000 -2.179 3.775 0.000 0.000 0.000 3.998" Properties=species:S:1:pos:R:3 pbc="T T T"
Mn -1.430 2.477 0.000
Mn 0.000 2.516 1.999
Mn 0.749 1.298 0.000
Mn 2.860 0.000 0.000
Mn 2.179 1.258 1.999
Ir 0.000 0.000 1.999
```

Space-group type: P-62m
D(E_F) in states/eV per cell: 7.0
Energy of formation in eV/atom: -0.062
Uncorrected energy in Ha/atom: -0.361
Total moment in μB/cell: 0.002
Polymorph energy (0 for the lowest one) in eV per atom: 0.000

=====

FeCo4: relaxed, GGA-PBEsol.

```
5
Lattice="1.963 1.133 3.997 -1.963 1.133 3.997 0.000 -2.267 3.997" Properties=species:S:1:pos:R:3 pbc="T T T"
Fe 0.000 0.000 0.000
Co 0.000 0.000 2.337
Co 0.000 0.000 4.780
Co 0.000 0.000 7.211
Co 0.000 0.000 9.654
```

Space-group type: R-3m
D(E_F) in states/eV per cell: 5.4
Energy of formation in eV/atom: 0.070
Uncorrected energy in Ha/atom: -0.291
Total moment in μB/cell: 9.390
Polymorph energy (0 for the lowest one) in eV per atom: 0.006

=====

Co3Ir: relaxed, GGA-PBEsol.

```
4
Lattice="4.168 -1.283 0.000 4.168 1.283 0.000 -0.833 0.000 4.258" Properties=species:S:1:pos:R:3 pbc="T T T"
Co 0.000 0.000 0.000
Co 1.469 0.000 3.241
Co 6.035 0.000 1.017
Ir 3.752 0.000 2.129
```

Space-group type: C2/m
D(E_F) in states/eV per cell: 6.5
Energy of formation in eV/atom: 0.053
Uncorrected energy in Ha/atom: -0.302
Total moment in μB/cell: 4.559